No. 1
VASP calculation (PBE) on a relaxed structure of ZrFe2Re.

a b c (Å): 3.2424 4.2162 4.3717
angles (deg): 90.00 90.00 90.00
Sites, in units of the cell vectors:
Zr1 0.0000 0.0000 0.0000
Fe1 0.0000 0.5000 0.5000
Fe2 0.5000 0.5000 0.0000
Re1 0.5000 0.0000 0.5000

Properties
- Energy of formation: 98 meV per atom
- Calculated density: 10812 kg/m3



No. 2
VASP calculation (PBE) on a relaxed structure of HfTi2Sn.

a b c (Å): 9.6655 9.6655 9.6655
angles (deg): 18.67 18.67 18.67
Sites, in units of the cell vectors:
Hf1 0.0000 0.0000 0.0000
Ti1 0.5839 0.5839 0.5839
Ti2 0.7499 0.7499 0.7499
Sn1 0.1668 0.1668 0.1668

Properties
- Energy of formation: -30 meV per atom
- Calculated density: 8075 kg/m3



No. 3
VASP calculation (PBE) on a relaxed structure of AlIn2O4.

a b c (Å): 6.4276 6.4276 6.4276
angles (deg): 146.41 146.41 48.24
Sites, in units of the cell vectors:
Al1 0.0000 0.0000 0.0000
In1 0.3551 0.3551 0.0000
In2 0.6449 0.6449 0.0000
O1 0.0000 0.5000 0.5000
O2 0.1701 0.1701 0.0000
O3 0.5000 0.0000 0.5000
O4 0.8299 0.8299 0.0000

Properties
- ΔE to the lowest computed polymorph: 0.0267 eV/atom
- Calculated density: 6576 kg/m3



Number 2 is which compound?
HfTi2Sn



Which value of calculated density does entry 2 give?
8075 kg/m3



Number 1 is which compound?
ZrFe2Re



What is the formula in the third record?
AlIn2O4